Below is a relaxed PaHg2IO8 crystal, with properties calculated at the GGA-PBE level.

Computed properties:
Size of the total moment: 0.00 μB/f.u.
Total DFT energy (no corrections): -5.41 eV per atom
Crystal system: triclinic

Cell: 5.3558 5.3672 6.7859 Å, 84.93 85.86 96.40°
Fractional positions:
Pa: 0.0000 0.0000 0.5000
Hg: 0.4776 0.4765 0.7581
Hg: 0.5224 0.5235 0.2419
I: 0.0000 0.0000 0.0000
O: 0.1353 0.8165 0.2159
O: 0.7155 0.7516 0.0016
O: 0.8393 0.1585 0.2109
O: 0.8647 0.1835 0.7841
O: 0.2845 0.2484 0.9984
O: 0.1607 0.8415 0.7891
O: 0.7027 0.7236 0.5408
O: 0.2973 0.2764 0.4592